The following is a DFT calculation (GGA-PBE) of an optimized crystal structure of Mn2ReTcH.

Computed properties:
uncorrected energy	-0.648	Ry per atom
symmetry	P4/mmm, No. 123
Fermi-level density of states	4.07	states/eV/cell
energy relative to the lowest polymorph listed for this composition	34	meV per atom
size of the total moment	2.115	μB/f.u.

Unit cell a=3.7548 b=3.7548 c=3.8446 alpha=90.00 beta=90.00 gamma=90.00
Element x y z (fractional)
Mn 0.0000 0.5000 0.0000
Mn 0.5000 0.0000 0.0000
Re 0.0000 0.0000 0.5000
Tc 0.5000 0.5000 0.5000
H 0.0000 0.0000 0.0000

***

The following is a DFT calculation (GGA-PBE) of an optimized crystal structure of BiIrS2.

Computed properties:
uncorrected energy	-0.374	Ry per atom
symmetry	I4/mcm, No. 140
Fermi-level density of states	6.19	states/eV/cell
size of the total moment	0.000	μB/f.u.
formation energy from raw total energies	0.7	eV per formula unit

Unit cell a=6.4813 b=6.4813 c=6.4813 alpha=101.13 beta=101.13 gamma=127.87
Element x y z (fractional)
Bi 0.2500 0.2500 0.0000
Bi 0.7500 0.7500 0.0000
Ir 0.2500 0.7500 0.5000
Ir 0.7500 0.2500 0.5000
S 0.1546 0.6546 0.8093
S 0.3454 0.1546 0.5000
S 0.6546 0.8454 0.5000
S 0.8454 0.3454 0.1907

***

The following is a DFT calculation (GGA-PBE) of an optimized crystal structure of KMgFe2.

Computed properties:
energy relative to the elements	0.771	eV/atom
uncorrected energy	-0.304	Ry per atom
symmetry	P4/mmm, No. 123
Fermi-level density of states	3.89	states/eV/cell
energy relative to the lowest polymorph listed for this composition	286	meV per atom
size of the total moment	5.595	μB/f.u.

Unit cell a=3.5649 b=3.5649 c=7.4693 alpha=90.00 beta=90.00 gamma=90.00
Element x y z (fractional)
K 0.0000 0.0000 0.0000
Mg 0.0000 0.0000 0.5000
Fe 0.5000 0.5000 0.3554
Fe 0.5000 0.5000 0.6446

***

The following is a DFT calculation (GGA-PBE) of an optimized crystal structure of Tl3In2Au4.

Computed properties:
energy relative to the elements	-0.078	eV/atom
uncorrected energy	-0.216	Ry per atom
symmetry	C2/m, No. 12
Fermi-level density of states	3.88	states/eV/cell
size of the total moment	0.000	μB/f.u.

Unit cell a=6.9127 b=6.9127 c=9.7344 alpha=114.68 beta=114.68 gamma=32.50
Element x y z (fractional)
Tl 0.0000 0.0000 0.0000
Tl 0.3919 0.3919 0.2779
Tl 0.6081 0.6081 0.7221
In 0.3186 0.3186 0.6665
In 0.6814 0.6814 0.3335
Au 0.0878 0.0878 0.4517
Au 0.3021 0.3021 0.9390
Au 0.6979 0.6979 0.0610
Au 0.9122 0.9122 0.5483

***

The following is a DFT calculation (GGA-PBE) of an optimized crystal structure of ScFeTeI2.

Computed properties:
uncorrected energy	-0.295	Ry per atom
symmetry	P4/mmm, No. 123
Fermi-level density of states	7.90	states/eV/cell
energy relative to the lowest polymorph listed for this composition	41	meV per atom
size of the total moment	1.866	μB/f.u.
formation energy from raw total energies	1.0	eV per formula unit

Unit cell a=5.1992 b=5.1992 c=5.3523 alpha=90.00 beta=90.00 gamma=90.00
Element x y z (fractional)
Sc 0.0000 0.0000 0.0000
Fe 0.5000 0.5000 0.5000
Te 0.5000 0.5000 0.0000
I 0.0000 0.5000 0.5000
I 0.5000 0.0000 0.5000

***

The following is a DFT calculation (GGA-PBE) of an optimized crystal structure of Ac4Te2IrS.

Computed properties:
uncorrected energy	-0.433	Ry per atom
symmetry	P2/m, No. 10
Fermi-level density of states	6.66	states/eV/cell
size of the total moment	0.000	μB/f.u.
formation energy from raw total energies	-11.4	eV per formula unit

Unit cell a=7.8812 b=4.4213 c=8.2041 alpha=90.00 beta=107.98 gamma=90.00
Element x y z (fractional)
Ac 0.2232 0.0000 0.2088
Ac 0.2528 0.5000 0.7817
Ac 0.7472 0.5000 0.2183
Ac 0.7768 0.0000 0.7912
Te 0.0000 0.0000 0.5000
Te 0.5000 0.5000 0.5000
Ir 0.0000 0.5000 0.0000
S 0.5000 0.0000 0.0000